[1]
DFT (PBE) results for crystalline K3SnAu8 at its relaxed geometry. Values from VASP.

```
&SYSTEM
  ibrav = 0, nat = 12, ntyp = 3
/
ATOMIC_SPECIES
K 39.10 K.upf
Sn 118.71 Sn.upf
Au 196.97 Au.upf
ATOMIC_POSITIONS crystal
K 0.000 0.000 0.000
K 0.126 0.126 0.126
K 0.629 0.629 0.629
Sn 0.509 0.509 0.509
Au 0.062 0.062 0.559
Au 0.062 0.559 0.062
Au 0.070 0.564 0.564
Au 0.313 0.313 0.313
Au 0.559 0.062 0.062
Au 0.564 0.070 0.564
Au 0.564 0.564 0.070
Au 0.813 0.813 0.813
CELL_PARAMETERS angstrom
2.887 1.667 9.467
-2.887 1.667 9.467
0.000 -3.334 9.467
```

Output
Energy relative to the elements, meV per atom: -218
D(E_F), states/eV/f.u.: 2.781
DFT total energy, eV/atom: -3.011

***

[2]
DFT (PBE) results for crystalline V6Mo5Pd at its relaxed geometry. Values from VASP.

```
&SYSTEM
  ibrav = 0, nat = 12, ntyp = 3
/
ATOMIC_SPECIES
V 50.94 V.upf
Mo 95.94 Mo.upf
Pd 106.42 Pd.upf
ATOMIC_POSITIONS crystal
V 0.075 0.585 0.330
V 0.238 0.762 0.000
V 0.415 0.925 0.670
V 0.585 0.075 0.330
V 0.762 0.238 0.000
V 0.925 0.415 0.670
Mo 0.000 0.000 0.500
Mo 0.168 0.168 0.168
Mo 0.338 0.338 0.838
Mo 0.662 0.662 0.162
Mo 0.832 0.832 0.832
Pd 0.500 0.500 0.500
CELL_PARAMETERS angstrom
6.867 -3.068 0.000
6.867 3.068 0.000
-1.371 0.000 4.127
```

Output
Energy relative to the elements, meV per atom: -147
D(E_F), states/eV/f.u.: 7.203
DFT total energy, eV/atom: -9.652

***

[3]
DFT (PBE) results for crystalline Ta3NO at its relaxed geometry. Values from VASP.

```
&SYSTEM
  ibrav = 0, nat = 5, ntyp = 3
/
ATOMIC_SPECIES
Ta 180.95 Ta.upf
N 14.01 N.upf
O 16.00 O.upf
ATOMIC_POSITIONS crystal
Ta 0.000 0.000 0.500
Ta 0.000 0.500 0.000
Ta 0.500 0.000 0.000
N 0.000 0.000 0.000
O 0.500 0.500 0.500
CELL_PARAMETERS angstrom
4.186 0.000 0.000
0.000 4.186 0.000
0.000 0.000 4.186
```

Output
Formation energy from raw total energies, eV/f.u.: 0.89
Energy above the lowest structure with this stoichiometry, meV per atom: 0
D(E_F), states/eV/f.u.: 5.133
DFT total energy, eV/atom: -9.591

***

[4]
DFT (PBE) results for crystalline Pm7HgPb4 at its relaxed geometry. Values from VASP.

```
&SYSTEM
  ibrav = 0, nat = 12, ntyp = 3
/
ATOMIC_SPECIES
Pm 145.00 Pm.upf
Hg 200.59 Hg.upf
Pb 207.20 Pb.upf
ATOMIC_POSITIONS crystal
Pm 0.000 0.000 0.000
Pm 0.148 0.148 0.569
Pm 0.297 0.297 0.134
Pm 0.417 0.417 0.679
Pm 0.583 0.583 0.321
Pm 0.703 0.703 0.866
Pm 0.852 0.852 0.431
Hg 0.500 0.500 0.000
Pb 0.078 0.078 0.784
Pb 0.217 0.217 0.335
Pb 0.783 0.783 0.665
Pb 0.922 0.922 0.216
CELL_PARAMETERS angstrom
7.653 -2.886 0.000
7.653 2.886 0.000
-6.825 0.000 9.150
```

Output
Energy relative to the elements, meV per atom: -277
D(E_F), states/eV/f.u.: 12.955
DFT total energy, eV/atom: -4.310

***

[5]
DFT (PBE) results for crystalline Rb3Y2BiSe6 at its relaxed geometry. Values from VASP.

```
&SYSTEM
  ibrav = 0, nat = 12, ntyp = 4
/
ATOMIC_SPECIES
Rb 85.47 Rb.upf
Y 88.91 Y.upf
Bi 208.98 Bi.upf
Se 78.96 Se.upf
ATOMIC_POSITIONS crystal
Rb 0.000 0.000 0.000
Rb 0.336 0.664 0.000
Rb 0.664 0.336 0.000
Y 0.167 0.833 0.500
Y 0.833 0.167 0.500
Bi 0.500 0.500 0.500
Se 0.093 0.434 0.302
Se 0.225 0.225 0.697
Se 0.434 0.093 0.302
Se 0.566 0.907 0.698
Se 0.775 0.775 0.303
Se 0.907 0.566 0.698
CELL_PARAMETERS angstrom
3.713 -6.431 0.000
3.713 6.431 0.000
-2.476 0.000 7.990
```

Output
Formation energy from raw total energies, eV/f.u.: -17.15
D(E_F), states/eV/f.u.: 0.000
DFT total energy, eV/atom: -4.814

***

[6]
DFT (PBE) results for crystalline AlBTe3 at its relaxed geometry. Values from VASP.

```
&SYSTEM
  ibrav = 0, nat = 5, ntyp = 3
/
ATOMIC_SPECIES
Al 26.98 Al.upf
B 10.81 B.upf
Te 127.60 Te.upf
ATOMIC_POSITIONS crystal
Al 0.000 0.000 0.000
B 0.500 0.500 0.500
Te 0.000 0.000 0.500
Te 0.000 0.500 0.000
Te 0.500 0.000 0.000
CELL_PARAMETERS angstrom
5.316 0.000 0.000
0.000 5.316 0.000
0.000 0.000 5.316
```

Output
Formation energy from raw total energies, eV/f.u.: 5.59
Energy above the lowest structure with this stoichiometry, meV per atom: 465
D(E_F), states/eV/f.u.: 2.835
DFT total energy, eV/atom: -2.851

***

[7]
DFT (PBE) results for crystalline Ho3Sn2Ir at its relaxed geometry. Values from VASP.

```
&SYSTEM
  ibrav = 0, nat = 24, ntyp = 3
/
ATOMIC_SPECIES
Ho 164.93 Ho.upf
Sn 118.71 Sn.upf
Ir 192.22 Ir.upf
ATOMIC_POSITIONS crystal
Ho 0.054 0.250 0.130
Ho 0.119 0.750 0.544
Ho 0.244 0.250 0.789
Ho 0.256 0.750 0.289
Ho 0.381 0.250 0.044
Ho 0.446 0.750 0.630
Ho 0.554 0.250 0.370
Ho 0.619 0.750 0.956
Ho 0.744 0.250 0.711
Ho 0.756 0.750 0.211
Ho 0.881 0.250 0.456
Ho 0.946 0.750 0.870
Sn 0.007 0.250 0.694
Sn 0.187 0.750 0.999
Sn 0.313 0.250 0.499
Sn 0.493 0.750 0.194
Sn 0.507 0.250 0.806
Sn 0.687 0.750 0.501
Sn 0.813 0.250 0.001
Sn 0.993 0.750 0.306
Ir 0.125 0.250 0.370
Ir 0.375 0.750 0.870
Ir 0.625 0.250 0.130
Ir 0.875 0.750 0.630
CELL_PARAMETERS angstrom
12.338 0.000 0.000
0.000 4.367 0.000
0.000 0.000 11.551
```

Output
Energy relative to the elements, meV per atom: -780
D(E_F), states/eV/f.u.: 2.903
DFT total energy, eV/atom: -5.880

***

[8]
DFT (PBE) results for crystalline Pr3Dy2Mg at its relaxed geometry. Values from VASP.

```
&SYSTEM
  ibrav = 0, nat = 6, ntyp = 3
/
ATOMIC_SPECIES
Pr 140.91 Pr.upf
Dy 162.50 Dy.upf
Mg 24.30 Mg.upf
ATOMIC_POSITIONS crystal
Pr 0.000 0.000 0.000
Pr 0.000 0.000 0.347
Pr 0.000 0.000 0.653
Dy 0.500 0.500 0.174
Dy 0.500 0.500 0.826
Mg 0.500 0.500 0.500
CELL_PARAMETERS angstrom
3.667 0.000 0.000
0.000 3.667 0.000
0.000 0.000 14.573
```

Output
Energy relative to the elements, meV per atom: -17
Energy above the lowest structure with this stoichiometry, meV per atom: 0
D(E_F), states/eV/f.u.: 7.724
DFT total energy, eV/atom: -4.207